CaCoP2O7 after structural relaxation. Source: Alexandria, functional PBE+U.

As for the uncorrected energy: -7.08 eV per atom. For the volume, the calculation gives 12.05 A^3/atom. As for the spin magnetization: 3.0 μB per formula unit. Its density of states at the Fermi level is 0.00 states/eV/f.u.

```
data_CaCoP2O7
_chemical_formula_sum 'Ca4 Co4 P8 O28'
_cell_length_a 7.3482
_cell_length_b 8.8100
_cell_length_c 9.1500
_cell_angle_alpha 90.00
_cell_angle_beta 116.47
_cell_angle_gamma 90.00
_symmetry_space_group_name_H-M 'P 1 21/c 1'
_symmetry_Int_Tables_number 14
_symmetry_space_group_name_Hall '-P 2ybc'
loop_
_atom_site_label
_atom_site_fract_x
_atom_site_fract_y
_atom_site_fract_z
_atom_site_occupancy
Ca1 0.2346 0.0517 0.3865 1
Co1 0.2688 0.0696 0.8810 1
P1 0.0292 0.7479 0.4656 1
P2 0.4570 0.7313 0.2689 1
O1 0.0280 0.1082 0.6420 1
O2 0.0578 0.6060 0.3825 1
O3 0.1130 0.2271 0.9544 1
O4 0.2450 0.6975 0.1100 1
O5 0.3881 0.2397 0.3005 1
O6 0.4479 0.6227 0.8552 1
O7 0.4831 0.5885 0.3753 1
```